A crystal of Sb3AuN relaxed with PBEsol. Source: Alexandria via LeMat-Bulk, functional SCAN.

Computed properties:
E_form (uncorrected): 0.70 eV/atom

Cell lengths 4.6695, 4.6695, 4.6695 Å; angles 90.00, 90.00, 90.00 degrees
Last column: nearest neighbours and their distance in Å.
Fractional coordinates of all 5 atoms:
Sb  0.0000  0.5000  0.0000  2 N 2.33
Au  0.5000  0.5000  0.5000  12 Sb 3.30
Sb  0.5000  0.0000  0.0000  2 N 2.33
Sb  0.0000  0.0000  0.5000  2 N 2.33
N  0.0000  0.0000  0.0000  6 Sb 2.33


A crystal of LiRe2Mo relaxed with PBEsol. Source: Alexandria via LeMat-Bulk, functional SCAN.

Computed properties:
Energy relative to the lowest polymorph listed for this composition: 0.0 meV/atom
Energy of formation: 0.172 eV per atom

Cell lengths 4.2921, 4.2921, 4.2921 Å; angles 60.00, 60.00, 60.00 degrees
Last column: nearest neighbours and their distance in Å.
Fractional coordinates of all 4 atoms:
Li  0.5000  0.5000  0.5000  4 Re 2.63, 4 Mo 2.63
Re  0.0000  0.0000  0.0000  4 Mo 2.63, 4 Re 2.63
Mo  0.2500  0.2500  0.2500  4 Li 2.63, 4 Re 2.63
Re  0.7500  0.7500  0.7500  4 Re 2.63, 4 Li 2.63


A crystal of Fe3Co4 relaxed with PBEsol. Source: Alexandria via LeMat-Bulk, functional SCAN.

Computed properties:
Energy relative to the lowest polymorph listed for this composition: 89.0 meV/atom
Energy of formation: -0.115 eV per atom

Cell lengths 3.9553, 4.6130, 4.6157 Å; angles 95.36, 90.00, 115.39 degrees
Last column: nearest neighbours and their distance in Å.
Fractional coordinates of all 7 atoms:
Co  0.2871  0.5742  0.6354  3 Fe 2.38-2.41, 5 Co 2.39-2.44
Fe  0.0000  0.0000  0.5000  4 Co 2.41-2.42, 4 Fe 2.42
Co  0.1450  0.2901  0.0712  4 Fe 2.38-2.42, 4 Co 2.43-2.44
Co  0.8550  0.7099  0.9288  4 Fe 2.38-2.42, 4 Co 2.43-2.44
Fe  0.5721  0.1442  0.7879  5 Co 2.38-2.41, 3 Fe 2.40-2.42
Co  0.7129  0.4258  0.3646  3 Fe 2.38-2.41, 5 Co 2.39-2.44
Fe  0.4279  0.8558  0.2121  5 Co 2.38-2.41, 3 Fe 2.40-2.42


Number 1: spin magnetization 0.000 μB/atom, theoretical density 9.40 Mg/m³. Number 2: spin magnetization 0.000 μB/atom, theoretical density 14.12 Mg/m³. Number 3: spin magnetization 2.219 μB/atom, theoretical density 8.85 Mg/m³.